Entry 1:
Density functional theory data (GGA-PBE) for TeAs2Cl after structural relaxation.

Lattice parameters (Å, degrees): 3.8225 3.8225 8.2125 90.00 90.00 90.00
Last column: nearest neighbours and their distance in Å.
Fractional coordinates of all 4 atoms:
Te 0.0000 0.0000 0.0000  1 As 2.55
As 0.0000 0.0000 0.3106  1 Te 2.55, 4 As 2.71
As 0.5000 0.5000 0.3376  1 Cl 2.23
Cl 0.5000 0.5000 0.6096  1 As 2.23


Entry 2:
Density functional theory data (GGA-PBE) for Ba2NiGeTe after structural relaxation.

Lattice parameters (Å, degrees): 6.1113 6.1113 4.4487 90.00 90.00 90.00
Last column: nearest neighbours and their distance in Å.
Fractional coordinates of all 5 atoms:
Ba 0.0000 0.5000 0.0000  2 Ni 3.06
Ba 0.5000 0.0000 0.0000  2 Ni 3.06
Ni 0.0000 0.0000 0.0000  2 Ge 2.22
Ge 0.0000 0.0000 0.5000  2 Ni 2.22
Te 0.5000 0.5000 0.5000  8 Ba 3.78


Entry 3:
Density functional theory data (GGA-PBE) for Si2Sn2Bi after structural relaxation.

Lattice parameters (Å, degrees): 10.2652 10.2652 10.2652 160.33 160.33 27.96
Last column: nearest neighbours and their distance in Å.
Fractional coordinates of all 5 atoms:
Si 0.2500 0.7500 0.5000  4 Si 2.48
Si 0.7500 0.2500 0.5000  4 Si 2.48
Sn 0.1254 0.1254 0.0000  4 Si 3.04
Sn 0.8746 0.8746 0.0000  4 Si 3.04
Bi 0.5000 0.5000 0.0000  4 Bi 3.51, 8 Sn 3.52


no.,VASP energy (eV/atom),formation energy without anion corrections (eV/atom),spin magnetization (μB/cell)
1,-3.667,-0.0949,0.00
2,-4.237,-0.7598,0.00
3,-4.306,0.2403,0.00